An optimized crystal structure of CoGe2Cl, computed with GGA-PBE.

Results
Magnetic moment (μB/cell): 0.000
Polymorph energy (0 for the lowest one) (meV per atom): 0
E (eV/atom): -4.411
Crystal system: tetragonal

a b c (Å): 5.861 5.861 10.886
angles (deg): 90.00 90.00 90.00
Space group I-42d (No. 122)
Unique sites:
1 Co 0.000 0.000 0.000 (multiplicity 4)
2 Ge 0.162 0.250 0.125 (multiplicity 8)
3 Cl 0.000 0.000 0.500 (multiplicity 4)


An optimized crystal structure of CoGe2Cl8, computed with GGA-PBE.

Results
Magnetic moment (μB/cell): 0.000
E (eV/atom): -3.446
Crystal system: monoclinic

a b c (Å): 13.376 7.160 7.121
angles (deg): 90.00 94.94 90.00
Space group C2/m (No. 12)
Unique sites:
1 Co 0.000 0.000 0.000 (multiplicity 2)
2 Ge 0.140 0.000 0.388 (multiplicity 4)
3 Cl 0.084 0.000 0.725 (multiplicity 4)
4 Cl 0.105 0.218 0.132 (multiplicity 8)
5 Cl 0.193 0.500 0.580 (multiplicity 4)


An optimized crystal structure of CoGeCl2, computed with GGA-PBE.

Results
Magnetic moment (μB/cell): 6.112
Polymorph energy (0 for the lowest one) (meV per atom): 527
E (eV/atom): -3.475
Crystal system: cubic

a b c (Å): 6.577 6.577 6.577
angles (deg): 90.00 90.00 90.00
Space group Fm-3m (No. 225)
Unique sites:
1 Co 0.000 0.000 0.000 (multiplicity 4)
2 Ge 0.000 0.000 0.500 (multiplicity 4)
3 Cl 0.250 0.250 0.250 (multiplicity 8)


An optimized crystal structure of Co2GeCl, computed with GGA-PBE.

Results
Magnetic moment (μB/cell): 7.102
Polymorph energy (0 for the lowest one) (meV per atom): 134
E (eV/atom): -4.688
Crystal system: cubic

a b c (Å): 5.996 5.996 5.996
angles (deg): 90.00 90.00 90.00
Space group Fm-3m (No. 225)
Unique sites:
1 Co 0.250 0.250 0.250 (multiplicity 8)
2 Ge 0.000 0.000 0.000 (multiplicity 4)
3 Cl 0.000 0.000 0.500 (multiplicity 4)


An optimized crystal structure of CoGeI2Cl, computed with GGA-PBE.

Results
Magnetic moment (μB/cell): 2.565
E (eV/atom): -2.853
Crystal system: tetragonal

a b c (Å): 5.832 5.832 4.945
angles (deg): 90.00 90.00 90.00
Space group P4/mmm (No. 123)
Unique sites:
1 Co 0.000 0.000 0.000 (multiplicity 1)
2 Ge 0.500 0.500 0.500 (multiplicity 1)
3 I 0.000 0.500 0.500 (multiplicity 2)
4 Cl 0.500 0.500 0.000 (multiplicity 1)


An optimized crystal structure of In2CoGeCl, computed with GGA-PBE.

Results
Magnetic moment (μB/cell): 0.000
E (eV/atom): -4.164
Crystal system: tetragonal

a b c (Å): 5.049 5.049 4.409
angles (deg): 90.00 90.00 90.00
Space group P4/mmm (No. 123)
Unique sites:
1 In 0.000 0.500 0.000 (multiplicity 2)
2 Co 0.000 0.000 0.000 (multiplicity 1)
3 Ge 0.000 0.000 0.500 (multiplicity 1)
4 Cl 0.500 0.500 0.500 (multiplicity 1)


An optimized crystal structure of La6Co2GeCl3, computed with GGA-PBE.

Results
Magnetic moment (μB/cell): 0.000
E (eV/atom): -5.540
Crystal system: monoclinic

a b c (Å): 18.848 4.190 8.978
angles (deg): 90.00 107.97 90.00
Space group C2/m (No. 12)
Unique sites:
1 La 0.021 0.000 0.250 (multiplicity 4)
2 La 0.167 0.500 0.121 (multiplicity 4)
3 La 0.181 0.500 0.563 (multiplicity 4)
4 Co 0.171 0.000 0.338 (multiplicity 4)
5 Ge 0.000 0.500 0.000 (multiplicity 2)
6 Cl 0.000 0.500 0.500 (multiplicity 2)
7 Cl 0.160 0.000 0.839 (multiplicity 4)


An optimized crystal structure of La4CoGeCl2, computed with GGA-PBE.

Results
Magnetic moment (μB/cell): 0.000
E (eV/atom): -5.473
Crystal system: monoclinic

a b c (Å): 7.466 4.242 7.573
angles (deg): 90.00 107.20 90.00
Space group P2/m (No. 10)
Unique sites:
1 La 0.229 0.000 0.298 (multiplicity 2)
2 La 0.233 0.500 0.723 (multiplicity 2)
3 Co 0.000 0.000 0.500 (multiplicity 1)
4 Ge 0.500 0.500 0.500 (multiplicity 1)
5 Cl 0.000 0.500 0.000 (multiplicity 1)
6 Cl 0.500 0.000 0.000 (multiplicity 1)


Q: The lowest E belongs to which entry?
A: La6Co2GeCl3


Q: What is the magnetic moment in the fourth record?
A: 7.102 μB/cell


Q: Which value of magnetic moment does entry 7 give?
A: 0.000 μB/cell


Q: Look up the E of the sixth one.
A: -4.164 eV/atom